[1]
# HoPuZnRh (PBE, optimized geometry)
data_HoPuZnRh
_chemical_formula_sum 'Ho4 Pu4 Zn4 Rh4'
_cell_length_a 6.972
_cell_length_b 6.972
_cell_length_c 6.972
_cell_angle_alpha 90.00
_cell_angle_beta 90.00
_cell_angle_gamma 90.00
_symmetry_space_group_name_H-M 'F -4 3 m'
_symmetry_Int_Tables_number 216
_symmetry_space_group_name_Hall 'F -4 2 3'
loop_
_atom_site_label
_atom_site_type_symbol
_atom_site_fract_x
_atom_site_fract_y
_atom_site_fract_z
Ho1 Ho 0.000 0.000 0.000
Pu1 Pu 0.000 0.000 0.500
Zn1 Zn 0.250 0.250 0.250
Rh1 Rh 0.250 0.250 0.750
# E: -116.3 eV per cell
# Crystal system: cubic
# Total magnetization: 21.3 μB per cell
# DFT formation energy: -386 meV/atom

***

[2]
# HoPu4Ru5 (PBE, optimized geometry)
data_HoPu4Ru5
_chemical_formula_sum 'Ho1 Pu4 Ru5'
_cell_length_a 3.302
_cell_length_b 3.302
_cell_length_c 17.178
_cell_angle_alpha 90.00
_cell_angle_beta 90.00
_cell_angle_gamma 90.00
_symmetry_space_group_name_H-M 'P 4/m m m'
_symmetry_Int_Tables_number 123
_symmetry_space_group_name_Hall '-P 4 2'
loop_
_atom_site_label
_atom_site_type_symbol
_atom_site_fract_x
_atom_site_fract_y
_atom_site_fract_z
Ho1 Ho 0.000 0.000 0.000
Pu1 Pu 0.000 0.000 0.205
Pu2 Pu 0.000 0.000 0.405
Ru1 Ru 0.500 0.500 0.107
Ru2 Ru 0.500 0.500 0.319
Ru3 Ru 0.500 0.500 0.500
# E: -107.4 eV per cell
# Crystal system: tetragonal
# Total magnetization: 8.8 μB per cell
# DFT formation energy: 85 meV/atom

***

[3]
# Ho2Pu2Ru3 (PBE, optimized geometry)
data_Ho2Pu2Ru3
_chemical_formula_sum 'Ho4 Pu4 Ru6'
_cell_length_a 9.884
_cell_length_b 4.908
_cell_length_c 6.532
_cell_angle_alpha 90.00
_cell_angle_beta 119.78
_cell_angle_gamma 90.00
_symmetry_space_group_name_H-M 'C 1 2/m 1'
_symmetry_Int_Tables_number 12
loop_
_symmetry_equiv_pos_as_xyz
'x,y,z'
'-x,-y,-z'
'-x,y,-z'
'x,-y,z'
'x+1/2,y+1/2,z'
'-x+1/2,-y+1/2,-z'
'-x+1/2,y+1/2,-z'
'x+1/2,-y+1/2,z'
loop_
_atom_site_label
_atom_site_type_symbol
_atom_site_fract_x
_atom_site_fract_y
_atom_site_fract_z
Ho1 Ho 0.163 0.000 0.299
Pu1 Pu 0.093 0.500 0.945
Ru1 Ru 0.000 0.500 0.500
Ru2 Ru 0.142 0.000 0.734
# Polymorph energy (0 for the lowest one): 142 meV per atom
# E: -132.5 eV per cell
# Crystal system: monoclinic
# Total magnetization: 4.5 μB per cell
# DFT formation energy: -88 meV/atom

***

[4]
# Ho2Pu3Ru4 (PBE, optimized geometry)
data_Ho2Pu3Ru4
_chemical_formula_sum 'Ho4 Pu6 Ru8'
_cell_length_a 8.194
_cell_length_b 4.723
_cell_length_c 9.284
_cell_angle_alpha 90.00
_cell_angle_beta 90.02
_cell_angle_gamma 90.00
_symmetry_space_group_name_H-M 'C 1 2/m 1'
_symmetry_Int_Tables_number 12
loop_
_symmetry_equiv_pos_as_xyz
'x,y,z'
'-x,-y,-z'
'-x,y,-z'
'x,-y,z'
'x+1/2,y+1/2,z'
'-x+1/2,-y+1/2,-z'
'-x+1/2,y+1/2,-z'
'x+1/2,-y+1/2,z'
loop_
_atom_site_label
_atom_site_type_symbol
_atom_site_fract_x
_atom_site_fract_y
_atom_site_fract_z
Ho1 Ho 0.167 0.000 0.288
Pu1 Pu 0.000 0.500 0.500
Pu2 Pu 0.167 0.000 0.922
Ru1 Ru 0.000 0.500 0.157
Ru2 Ru 0.166 0.000 0.605
# E: -182.6 eV per cell
# Crystal system: monoclinic
# Total magnetization: 28.5 μB per cell
# DFT formation energy: -225 meV/atom